Compound: RbTaSeBr2
Source: Alexandria
Functional: PBE
Structure: relaxed

The space group is P4/mmm (123). The total magnetization is 0.1 μB/f.u. The value obtained for the energy relative to the elements, uncorrected is 1.433 eV per atom. The density of states at the Fermi level comes out at 2.83 states/eV per atom. The energy above the most stable polymorph in this dataset is 2170 meV per atom. The crystal system is tetragonal.

abc: 5.839 5.839 5.822
angles: 90.00 90.00 90.00
Sites, in units of the cell vectors:
1 Br 0.500 0.000 0.000
2 Se 0.000 0.000 0.500
3 Br 0.000 0.500 0.000
4 Rb 0.000 0.000 0.000
5 Ta 0.500 0.500 0.500

=====

Compound: RbTaSeBr2
Source: Alexandria
Functional: PBE
Structure: relaxed

The space group is P4/mmm (123). The total magnetization is 1.7 μB/f.u. The value obtained for the energy relative to the elements, uncorrected is -0.736 eV per atom. The density of states at the Fermi level comes out at 0.74 states/eV per atom. The energy above the most stable polymorph in this dataset is 0 meV per atom. The crystal system is tetragonal.

abc: 5.484 5.484 5.022
angles: 90.00 90.00 90.00
Sites, in units of the cell vectors:
1 Rb 0.500 0.500 0.500
2 Ta 0.000 0.000 0.000
3 Br 0.000 0.500 0.000
4 Se 0.000 0.000 0.500
5 Br 0.500 0.000 0.000